Compound: La5CdAg3
Source: the Alexandria database
Functional: GGA-PBE
Structure: relaxed

Cell: 9.263 9.263 7.309 Å, 90.00 90.00 120.00°
Sites, in units of the cell vectors:
La 0.000 0.294 0.250
La 0.000 0.706 0.750
La 0.294 0.000 0.250
La 0.294 0.294 0.750
La 0.333 0.667 0.000
La 0.333 0.667 0.500
La 0.667 0.333 0.000
La 0.667 0.333 0.500
La 0.706 0.000 0.750
La 0.706 0.706 0.250
Cd 0.000 0.000 0.000
Cd 0.000 0.000 0.500
Ag 0.000 0.372 0.750
Ag 0.000 0.628 0.250
Ag 0.372 0.000 0.750
Ag 0.372 0.372 0.250
Ag 0.628 0.000 0.250
Ag 0.628 0.628 0.750

Values from the calculation:
Formation energy from the elements   -126 kJ/mol of formula units
Calculated total energy   -3.93 eV/atom
Total magnetization   0.00 Bohr magnetons per cell